[1]
Ac2P4Rh5 after structural relaxation. Source: Alexandria via LeMat-Bulk, functional PBE.

Results
Space-group type   Fmmm, No. 69

```
Ac2P4Rh5
1.0
0.0000 5.1196 7.0448
2.7866 0.0000 7.0448
2.7866 5.1196 0.0000
Ac P Rh
2 4 5
Direct
0.1375 0.1375 0.8625
0.8625 0.8625 0.1375
0.2119 0.5360 0.4640
0.4640 0.7881 0.2119
0.5360 0.2119 0.7881
0.7881 0.4640 0.5360
0.0000 0.0000 0.5000
0.2500 0.2500 0.2500
0.5000 0.5000 0.0000
0.5000 0.5000 0.5000
0.7500 0.7500 0.7500
```

[2]
AcP3Rh6 after structural relaxation. Source: Alexandria via LeMat-Bulk, functional PBE.

Results
Space-group type   R3, No. 146

```
AcP3Rh6
1.0
2.9569 1.7072 5.4913
-2.9569 1.7072 5.4913
0.0000 -3.4143 5.4913
Ac P Rh
1 3 6
Direct
0.0000 0.0000 0.0000
0.2712 0.2712 0.2712
0.6078 0.6078 0.6078
0.8154 0.8154 0.8154
0.0357 0.5326 0.5446
0.2582 0.4628 0.8458
0.4628 0.8458 0.2582
0.5326 0.5446 0.0357
0.5446 0.0357 0.5326
0.8458 0.2582 0.4628
```

| no. | D(E_F) (states/eV/f.u.) | E_form (eV per atom) | total DFT energy (no corrections) (Ry per atom) |
| --- | --- | --- | --- |
| 1 | 8.162 | -0.913 | -0.5122 |
| 2 | 4.792 | -0.707 | -0.5257 |